VASP calculation (PBE-GGA) on a geometry-optimized Gd2Dy2O5 structure.

The value obtained for the total energy is -7.658 eV per atom. The total moment is 0.160 μB/atom.

```
Gd2Dy2O5
1.0
9.449 0.000 0.000
0.000 3.919 0.000
0.000 0.000 3.919
Dy Gd O
2 2 5
Direct
0.000 0.000 0.000
0.500 0.000 0.000
0.758 0.500 0.500
0.242 0.500 0.500
0.143 0.000 0.500
0.857 0.000 0.500
0.500 0.500 0.500
0.857 0.500 0.000
0.143 0.500 0.000
```

=====

VASP calculation (PBE-GGA) on a geometry-optimized ZrTc2Sb structure.

The value obtained for the total energy is -8.189 eV per atom. The total moment is 0.343 μB/atom.

```
ZrTc2Sb
1.0
3.597 -2.652 1.282
2.692 1.297 3.562
-0.157 -2.349 4.009
Zr Tc Sb
1 2 1
Direct
0.250 0.250 0.250
0.000 0.000 0.000
0.750 0.750 0.750
0.500 0.500 0.500
```

=====

VASP calculation (PBE-GGA) on a geometry-optimized BaZnCdBi2 structure.

The value obtained for the total energy is -2.813 eV per atom.

```
BaZnCdBi2
1.0
-4.613 -1.234 1.111
1.992 -1.506 -4.219
2.703 -6.779 3.695
Ba Zn Bi Cd
1 1 2 1
Direct
0.000 0.000 0.999
0.333 0.667 0.634
0.667 0.333 0.732
0.333 0.667 0.268
0.667 0.333 0.367
```

=====

VASP calculation (PBE-GGA) on a geometry-optimized SmY2Cu4Sn2Ge2 structure.

The value obtained for the total energy is -5.128 eV per atom. The total moment is 0.000 μB/atom.

```
SmY2Cu4Sn2Ge2
1.0
-2.890 -5.437 5.592
-7.747 0.434 2.996
5.147 -0.878 -6.474
Cu Ge Y Sm Sn
4 2 2 1 2
Direct
0.152 0.341 0.812
0.471 0.659 0.812
0.529 0.341 0.188
0.848 0.659 0.188
0.811 0.500 0.311
0.189 0.500 0.689
0.875 0.875 0.000
0.125 0.125 0.000
0.500 0.000 0.500
0.719 0.219 0.500
0.281 0.781 0.500
```